No. 1
A plane-wave DFT calculation with PBE-GGA was carried out for a relaxed structure of Na3Ga2Au4.

Results
- N(E_F) (states/eV/f.u.) = 2.86
- ΔE_f (kJ/mol of formula units) = -279
- energy (eV/atom) = -2.890
- size of the total moment (μB per atom) = 0.000

a b c (Å): 10.672 4.586 8.710
angles (deg): 90.00 114.64 90.00
Space group C2/m (No. 12)
Unique sites:
Na1 0.000 0.000 0.000 (multiplicity 2)
Na2 0.135 0.500 0.690 (multiplicity 4)
Ga1 0.167 0.500 0.334 (multiplicity 4)
Au1 0.084 0.000 0.406 (multiplicity 4)
Au2 0.232 0.500 0.082 (multiplicity 4)

No. 2
A plane-wave DFT calculation with PBE-GGA was carried out for a relaxed structure of Na2Ga5Au.

Results
- N(E_F) (states/eV/f.u.) = 3.64
- ΔE_f (kJ/mol of formula units) = -64
- energy (eV/atom) = -2.714
- size of the total moment (μB per atom) = 0.000
- E above lowest polymorph (kcal/mol of atoms) = 2.53

a b c (Å): 5.618 5.618 12.195
angles (deg): 90.00 90.00 90.00
Space group I4mm (No. 107)
Unique sites:
Na1 0.000 0.500 0.000 (multiplicity 4)
Ga1 0.000 0.000 0.393 (multiplicity 2)
Ga2 0.244 0.244 0.241 (multiplicity 8)
Au1 0.000 0.000 0.599 (multiplicity 2)

No. 3
A plane-wave DFT calculation with PBE-GGA was carried out for a relaxed structure of Na5Ga2Au5.

Results
- N(E_F) (states/eV/f.u.) = 4.58
- ΔE_f (kJ/mol of formula units) = -330
- energy (eV/atom) = -2.705
- size of the total moment (μB per atom) = 0.000

a b c (Å): 13.410 4.301 10.164
angles (deg): 90.00 104.51 90.00
Space group C2/m (No. 12)
Unique sites:
Na1 0.000 0.000 0.000 (multiplicity 2)
Na2 0.161 0.000 0.570 (multiplicity 4)
Na3 0.222 0.500 0.089 (multiplicity 4)
Ga1 0.072 0.500 0.286 (multiplicity 4)
Au1 0.000 0.500 0.500 (multiplicity 2)
Au2 0.125 0.500 0.784 (multiplicity 4)
Au3 0.176 0.000 0.265 (multiplicity 4)

No. 4
A plane-wave DFT calculation with PBE-GGA was carried out for a relaxed structure of NaGa4Au.

Results
- N(E_F) (states/eV/f.u.) = 1.48
- ΔE_f (kJ/mol of formula units) = -108
- energy (eV/atom) = -2.971
- size of the total moment (μB per atom) = 0.000
- E above lowest polymorph (kcal/mol of atoms) = 0.00

a b c (Å): 4.324 15.580 7.057
angles (deg): 90.00 90.00 90.00
Space group Cmcm (No. 63)
Unique sites:
Na1 0.000 0.134 0.250 (multiplicity 4)
Ga1 0.000 0.052 0.750 (multiplicity 4)
Ga2 0.000 0.328 0.047 (multiplicity 8)
Ga3 0.000 0.500 0.000 (multiplicity 4)
Au1 0.000 0.222 0.750 (multiplicity 4)

No. 5
A plane-wave DFT calculation with PBE-GGA was carried out for a relaxed structure of NaGa3Au2.

Results
- N(E_F) (states/eV/f.u.) = 2.02
- ΔE_f (kJ/mol of formula units) = -151
- energy (eV/atom) = -3.087
- size of the total moment (μB per atom) = 0.000

a b c (Å): 15.716 4.428 7.954
angles (deg): 90.00 120.19 90.00
Space group C2/m (No. 12)
Unique sites:
Na1 0.124 0.000 0.122 (multiplicity 4)
Ga1 0.002 0.000 0.343 (multiplicity 4)
Ga2 0.180 0.500 0.884 (multiplicity 4)
Ga3 0.181 0.500 0.477 (multiplicity 4)
Au1 0.001 0.500 0.181 (multiplicity 4)
Au2 0.200 0.000 0.701 (multiplicity 4)

No. 6
A plane-wave DFT calculation with PBE-GGA was carried out for a relaxed structure of NaGaAu4.

Results
- N(E_F) (states/eV/f.u.) = 1.78
- ΔE_f (kJ/mol of formula units) = -117
- energy (eV/atom) = -3.112
- size of the total moment (μB per atom) = 0.000
- E above lowest polymorph (kcal/mol of atoms) = 0.00

a b c (Å): 4.327 18.265 5.810
angles (deg): 90.00 90.00 90.00
Space group Cmcm (No. 63)
Unique sites:
Na1 0.000 0.093 0.250 (multiplicity 4)
Ga1 0.000 0.220 0.750 (multiplicity 4)
Au1 0.000 0.072 0.750 (multiplicity 4)
Au2 0.000 0.334 0.006 (multiplicity 8)
Au3 0.000 0.500 0.000 (multiplicity 4)

No. 7
A plane-wave DFT calculation with PBE-GGA was carried out for a relaxed structure of Na3Ga3Au8.

Results
- N(E_F) (states/eV/f.u.) = 3.52
- ΔE_f (kJ/mol of formula units) = -401
- energy (eV/atom) = -3.101
- size of the total moment (μB per atom) = 0.000

a b c (Å): 16.220 4.622 9.040
angles (deg): 90.00 123.56 90.00
Space group C2/m (No. 12)
Unique sites:
Na1 0.000 0.000 0.000 (multiplicity 2)
Na2 0.208 0.500 0.690 (multiplicity 4)
Ga1 0.000 0.000 0.500 (multiplicity 2)
Ga2 0.170 0.500 0.011 (multiplicity 4)
Au1 0.004 0.500 0.678 (multiplicity 4)
Au2 0.131 0.000 0.420 (multiplicity 4)
Au3 0.137 0.000 0.853 (multiplicity 4)
Au4 0.160 0.500 0.277 (multiplicity 4)

No. 8
A plane-wave DFT calculation with PBE-GGA was carried out for a relaxed structure of Na2GaAu3.

Results
- N(E_F) (states/eV/f.u.) = 1.38
- ΔE_f (kJ/mol of formula units) = -89
- energy (eV/atom) = -2.737
- size of the total moment (μB per atom) = 0.000
- E above lowest polymorph (kcal/mol of atoms) = 4.73

a b c (Å): 4.425 5.324 12.097
angles (deg): 90.00 90.00 90.00
Space group Immm (No. 71)
Unique sites:
Na1 0.000 0.000 0.202 (multiplicity 4)
Ga1 0.000 0.000 0.500 (multiplicity 2)
Au1 0.000 0.500 0.121 (multiplicity 4)
Au2 0.000 0.500 0.500 (multiplicity 2)